A relaxed structure of Zr2Pd6Au. Source: Alexandria via LeMat-Bulk, functional PBE.

Lattice parameters (Å, degrees): 2.949 7.785 7.785 120.85 90.00 90.00
Atoms (fractional coordinates):
1 Zr 0.000 0.560 0.252
2 Pd 0.500 0.918 0.557
3 Au 0.500 0.188 0.188
4 Pd 0.000 0.223 0.887
5 Zr 0.000 0.252 0.560
6 Pd 0.000 0.856 0.856
7 Pd 0.500 0.557 0.918
8 Pd 0.500 0.558 0.558
9 Pd 0.000 0.887 0.223

Computed properties:
space-group type = Amm2, No. 38
ΔH_f (0 K) = -0.455 eV per atom